[1]
The following is a DFT calculation (PBE) of a relaxed KNbTePdI crystal.

Values from the calculation:
Electronic total energy = -4.587 eV/atom
Polymorph energy (0 for the lowest one) = 6 meV/atom
SG = No. 160
D(E_F) = 2.95 states/eV/f.u.

abc: 4.131 4.131 29.237
angles: 90.00 90.00 120.00
Atoms (fractional coordinates):
K  0.000  0.000  0.889
K  0.333  0.667  0.556
K  0.667  0.333  0.223
Nb  0.000  0.000  0.746
Nb  0.333  0.667  0.412
Nb  0.667  0.333  0.079
Te  0.000  0.000  0.469
Te  0.333  0.667  0.136
Te  0.667  0.333  0.803
Pd  0.000  0.000  0.042
Pd  0.333  0.667  0.708
Pd  0.667  0.333  0.375
I  0.000  0.000  0.642
I  0.333  0.667  0.309
I  0.667  0.333  0.975


[2]
The following is a DFT calculation (PBE) of a relaxed KNbTePdI crystal.

Values from the calculation:
Electronic total energy = -4.517 eV/atom
Polymorph energy (0 for the lowest one) = 76 meV/atom
SG = No. 8
D(E_F) = 2.33 states/eV/f.u.

abc: 10.938 4.015 6.958
angles: 90.00 102.74 90.00
Atoms (fractional coordinates):
K  0.513  0.000  0.980
K  0.513  0.500  0.480
Nb  0.923  0.000  0.790
Nb  0.923  0.500  0.290
Te  0.761  0.000  0.400
Te  0.761  0.500  0.900
Pd  0.036  0.000  0.162
Pd  0.036  0.500  0.662
I  0.287  0.000  0.235
I  0.287  0.500  0.735


[3]
The following is a DFT calculation (PBE) of a relaxed KNbTePdI crystal.

Values from the calculation:
Electronic total energy = -4.508 eV/atom
Polymorph energy (0 for the lowest one) = 85 meV/atom
SG = No. 160
D(E_F) = 2.15 states/eV/f.u.

abc: 4.186 4.186 28.630
angles: 90.00 90.00 120.00
Site moments in Bohr magnetons follow the coordinates.
Atoms (fractional coordinates):
I  0.000  0.000  0.000  -0.01
I  0.333  0.667  0.667  -0.01
I  0.667  0.333  0.333  -0.01
K  0.000  0.000  0.759  0.01
K  0.333  0.667  0.426  0.01
K  0.667  0.333  0.092  0.01
Te  0.000  0.000  0.509  0.02
Te  0.333  0.667  0.176  0.02
Te  0.667  0.333  0.842  0.02
Nb  0.000  0.000  0.604  0.72
Nb  0.333  0.667  0.270  0.72
Nb  0.667  0.333  0.937  0.72
Pd  0.000  0.000  0.229  0.09
Pd  0.333  0.667  0.896  0.09
Pd  0.667  0.333  0.563  0.09